*A*
Entry from Alexandria via LeMat-Bulk: a relaxed Ca2ScFe crystal (GGA-PBE).

Values from the calculation:
SG = No. 8
Density = 2.52 Mg/m³

a = 4.6780 Å, b = 4.6780 Å, c = 8.2478 Å
α = 105.34°, β = 105.34°, γ = 43.64°
Last column: nearest neighbours and their distance in Å.
Element x y z (fractional)
Ca: 0.0000 0.0000 0.0000  2 Fe 2.99
Ca: 0.1625 0.1625 0.6056  2 Fe 3.00
Sc: 0.8016 0.8016 0.3031  3 Fe 2.39-2.62
Fe: 0.5263 0.5263 0.3017  3 Sc 2.39-2.62


*B*
Entry from Alexandria via LeMat-Bulk: a relaxed Ca2ScFe crystal (GGA-PBE).

Values from the calculation:
SG = No. 71
Density = 2.65 Mg/m³

a = 8.9419 Å, b = 8.9419 Å, c = 8.9419 Å
α = 158.87°, β = 153.90°, γ = 33.82°
Last column: nearest neighbours and their distance in Å.
Element x y z (fractional)
Ca: 0.1587 0.1587 0.0000  2 Fe 3.17, 2 Ca 3.28, 2 Sc 3.38
Ca: 0.8413 0.8413 0.0000  2 Fe 3.17, 2 Ca 3.28, 2 Sc 3.38
Sc: 0.5000 0.0000 0.5000  4 Fe 2.60
Fe: 0.0000 0.5000 0.5000  4 Sc 2.60


Most stable: *B*. Least stable: *A*.


*A*
Entry from Alexandria via LeMat-Bulk: a relaxed CaSc3Fe crystal (GGA-PBE).

Values from the calculation:
SG = No. 221
Density = 3.37 Mg/m³

a = 4.8453 Å, b = 4.8453 Å, c = 4.8453 Å
α = 90.00°, β = 90.00°, γ = 90.00°
Last column: nearest neighbours and their distance in Å.
Element x y z (fractional)
Ca: 0.0000 0.0000 0.0000  6 Sc 2.42
Sc: 0.0000 0.0000 0.5000  2 Ca 2.42
Sc: 0.0000 0.5000 0.0000  2 Ca 2.42
Sc: 0.5000 0.0000 0.0000  2 Ca 2.42
Fe: 0.5000 0.5000 0.5000  12 Sc 3.43


*B*
Entry from Alexandria via LeMat-Bulk: a relaxed CaSc3Fe crystal (GGA-PBE).

Values from the calculation:
SG = No. 221
Density = 3.11 Mg/m³

a = 4.9744 Å, b = 4.9744 Å, c = 4.9744 Å
α = 90.00°, β = 90.00°, γ = 90.00°
Last column: nearest neighbours and their distance in Å.
Element x y z (fractional)
Ca: 0.0000 0.0000 0.0000  12 Sc 3.52
Sc: 0.0000 0.5000 0.5000  2 Fe 2.49
Sc: 0.5000 0.0000 0.5000  2 Fe 2.49
Sc: 0.5000 0.5000 0.0000  2 Fe 2.49
Fe: 0.5000 0.5000 0.5000  6 Sc 2.49


Most stable: *B*. Least stable: *A*.


*A*
Entry from Alexandria via LeMat-Bulk: a relaxed CaFeSe2 crystal (GGA-PBE).

Values from the calculation:
SG = No. 122
Density = 3.71 Mg/m³

a = 7.2724 Å, b = 7.2724 Å, c = 7.2724 Å
α = 128.81°, β = 128.81°, γ = 75.31°
Last column: nearest neighbours and their distance in Å.
Element x y z (fractional)
Ca: 0.0000 0.0000 0.0000  4 Se 2.85
Ca: 0.7500 0.2500 0.5000  4 Se 2.85
Fe: 0.2500 0.7500 0.5000  4 Se 2.47
Fe: 0.5000 0.5000 0.0000  4 Se 2.47
Se: 0.1774 0.6250 0.0524  2 Fe 2.47
Se: 0.3750 0.4274 0.5524  2 Fe 2.47
Se: 0.5726 0.1250 0.9476  2 Fe 2.47
Se: 0.8750 0.8226 0.4476  2 Fe 2.47


*B*
Entry from Alexandria via LeMat-Bulk: a relaxed CaFeSe2 crystal (GGA-PBE).

Values from the calculation:
SG = No. 119
Density = 4.43 Mg/m³

a = 6.9501 Å, b = 6.9501 Å, c = 6.9501 Å
α = 147.76°, β = 147.76°, γ = 46.24°
Last column: nearest neighbours and their distance in Å.
Element x y z (fractional)
Ca: 0.0000 0.0000 0.0000  4 Se 2.73
Fe: 0.2500 0.7500 0.5000  4 Se 2.73
Se: 0.5000 0.5000 0.0000  4 Ca 2.73
Se: 0.7500 0.2500 0.5000  4 Fe 2.73


*C*
Entry from Alexandria via LeMat-Bulk: a relaxed CaFeSe2 crystal (GGA-PBE).

Values from the calculation:
SG = No. 166
Density = 5.48 Mg/m³

a = 6.4128 Å, b = 6.4128 Å, c = 6.4128 Å
α = 34.85°, β = 34.85°, γ = 34.85°
Last column: nearest neighbours and their distance in Å.
Element x y z (fractional)
Ca: 0.0000 0.0000 0.0000  6 Se 2.90
Fe: 0.5000 0.5000 0.5000  6 Se 2.49
Se: 0.2297 0.2297 0.2297  3 Fe 2.49
Se: 0.7703 0.7703 0.7703  3 Fe 2.49


*D*
Entry from Alexandria via LeMat-Bulk: a relaxed CaFeSe2 crystal (GGA-PBE).

Values from the calculation:
SG = No. 10
Density = 4.51 Mg/m³

a = 3.8690 Å, b = 3.5648 Å, c = 6.7837 Å
α = 90.00°, β = 91.84°, γ = 90.00°
Last column: nearest neighbours and their distance in Å.
Element x y z (fractional)
Ca: 0.0000 0.0000 0.0000  8 Se 3.12
Fe: 0.5000 0.0000 0.5000  4 Se 2.48
Se: 0.4870 0.5000 0.7533  2 Fe 2.48
Se: 0.5130 0.5000 0.2467  2 Fe 2.48


Most stable: *A*. Least stable: *B*.


*A*
Entry from Alexandria via LeMat-Bulk: a relaxed CaFeSe2 crystal (GGA-PBE).

Values from the calculation:
SG = No. 8
Density = 4.47 Mg/m³

a = 6.8093 Å, b = 6.8093 Å, c = 3.8890 Å
α = 90.07°, β = 90.07°, γ = 31.50°
Last column: nearest neighbours and their distance in Å.
Element x y z (fractional)
Ca: 0.0000 0.0000 0.0000  6 Se 2.87-3.08
Fe: 0.2396 0.2396 0.4420  3 Se 2.40-2.58
Se: 0.4221 0.4221 0.4997  1 Fe 2.40
Se: 0.6884 0.6884 0.0118  2 Fe 2.58


*B*
Entry from Alexandria via LeMat-Bulk: a relaxed CaFeSe2 crystal (GGA-PBE).

Values from the calculation:
SG = No. 225
Density = 5.20 Mg/m³

a = 4.8592 Å, b = 4.8592 Å, c = 4.8592 Å
α = 60.00°, β = 60.00°, γ = 60.00°
Last column: nearest neighbours and their distance in Å.
Element x y z (fractional)
Ca: 0.0000 0.0000 0.0000  8 Se 2.98
Fe: 0.5000 0.5000 0.5000  8 Se 2.98
Se: 0.2500 0.2500 0.2500  4 Fe 2.98, 4 Ca 2.98
Se: 0.7500 0.7500 0.7500  4 Fe 2.98, 4 Ca 2.98


*C*
Entry from Alexandria via LeMat-Bulk: a relaxed CaFeSe2 crystal (GGA-PBE).

Values from the calculation:
SG = No. 166
Density = 3.31 Mg/m³

a = 8.0094 Å, b = 8.0094 Å, c = 8.0094 Å
α = 31.89°, β = 31.89°, γ = 31.89°
Last column: nearest neighbours and their distance in Å.
Element x y z (fractional)
Ca: 0.0000 0.0000 0.0000  6 Se 2.96
Fe: 0.5000 0.5000 0.5000  2 Se 2.28
Se: 0.4001 0.4001 0.4001  1 Fe 2.28
Se: 0.5999 0.5999 0.5999  1 Fe 2.28


Most stable: *A*. Least stable: *B*.


*A*
Entry from Alexandria via LeMat-Bulk: a relaxed CaFeSe2 crystal (GGA-PBE).

Values from the calculation:
SG = No. 99
Density = 4.58 Mg/m³

a = 3.9701 Å, b = 3.9701 Å, c = 5.8385 Å
α = 90.00°, β = 90.00°, γ = 90.00°
Last column: nearest neighbours and their distance in Å.
Element x y z (fractional)
Ca: 0.0000 0.0000 0.0000  6 Se 2.81-2.93
Fe: 0.5000 0.5000 0.4481  1 Se 2.51
Se: 0.0000 0.0000 0.5015  4 Fe 2.82, 2 Ca 2.91-2.93
Se: 0.5000 0.5000 0.0174  1 Fe 2.51, 4 Ca 2.81


*B*
Entry from Alexandria via LeMat-Bulk: a relaxed CaFeSe2 crystal (GGA-PBE).

Values from the calculation:
SG = No. 65
Density = 4.83 Mg/m³

a = 3.6207 Å, b = 3.6207 Å, c = 7.0701 Å
α = 90.00°, β = 90.00°, γ = 109.73°
Last column: nearest neighbours and their distance in Å.
Element x y z (fractional)
Ca: 0.0000 0.0000 0.0000  4 Se 2.85
Fe: 0.0000 0.0000 0.5000  4 Se 2.62
Se: 0.5000 0.5000 0.2747  2 Fe 2.62, 2 Ca 2.85
Se: 0.5000 0.5000 0.7253  2 Fe 2.62, 2 Ca 2.85


*C*
Entry from Alexandria via LeMat-Bulk: a relaxed CaFeSe2 crystal (GGA-PBE).

Values from the calculation:
SG = No. 216
Density = 5.02 Mg/m³

a = 4.9159 Å, b = 4.9159 Å, c = 4.9159 Å
α = 60.00°, β = 60.00°, γ = 60.00°
Last column: nearest neighbours and their distance in Å.
Element x y z (fractional)
Ca: 0.0000 0.0000 0.0000  4 Se 3.01, 4 Fe 3.01
Fe: 0.2500 0.2500 0.2500  4 Se 3.01, 4 Ca 3.01
Se: 0.5000 0.5000 0.5000  4 Se 3.01, 4 Fe 3.01
Se: 0.7500 0.7500 0.7500  4 Se 3.01, 4 Ca 3.01


*D*
Entry from Alexandria via LeMat-Bulk: a relaxed CaFeSe2 crystal (GGA-PBE).

Values from the calculation:
SG = No. 123
Density = 5.21 Mg/m³

a = 3.4248 Å, b = 3.4248 Å, c = 6.9013 Å
α = 90.00°, β = 90.00°, γ = 90.00°
Last column: nearest neighbours and their distance in Å.
Element x y z (fractional)
Ca: 0.0000 0.0000 0.0000  8 Se 3.06, 4 Ca 3.42
Fe: 0.0000 0.0000 0.5000  8 Se 2.89
Se: 0.5000 0.5000 0.2716  4 Fe 2.89, 4 Ca 3.06, 1 Se 3.15
Se: 0.5000 0.5000 0.7284  4 Fe 2.89, 4 Ca 3.06, 1 Se 3.15


Most stable: *A*. Least stable: *C*.


*A*
Entry from Alexandria via LeMat-Bulk: a relaxed CaFeSe2 crystal (GGA-PBE).

Values from the calculation:
SG = No. 38
Density = 4.30 Mg/m³

a = 4.2116 Å, b = 6.3592 Å, c = 6.3592 Å
α = 35.18°, β = 90.00°, γ = 90.00°
Last column: nearest neighbours and their distance in Å.
Element x y z (fractional)
Ca: 0.0000 0.0000 0.0000  6 Se 2.94-3.04
Fe: 0.5000 0.7807 0.7807  4 Se 2.41-2.51
Se: 0.0000 0.6836 0.6836  2 Fe 2.41
Se: 0.5000 0.4140 0.4140  2 Fe 2.51


*B*
Entry from Alexandria via LeMat-Bulk: a relaxed CaFeSe2 crystal (GGA-PBE).

Values from the calculation:
SG = No. 71
Density = 4.85 Mg/m³

a = 5.2249 Å, b = 5.2249 Å, c = 5.2249 Å
α = 137.80°, β = 109.47°, γ = 85.75°
Last column: nearest neighbours and their distance in Å.
Element x y z (fractional)
Ca: 0.0000 0.0000 0.0000  4 Se 3.00
Fe: 0.5000 0.5000 0.0000  4 Se 2.40
Se: 0.3044 0.8044 0.5000  2 Fe 2.40
Se: 0.6956 0.1956 0.5000  2 Fe 2.40


Most stable: *A*. Least stable: *B*.


*A*
Entry from Alexandria via LeMat-Bulk: a relaxed CaFe3Si crystal (GGA-PBE).

Values from the calculation:
SG = No. 221
Density = 4.30 Mg/m³

a = 4.4979 Å, b = 4.4979 Å, c = 4.4979 Å
α = 90.00°, β = 90.00°, γ = 90.00°
Last column: nearest neighbours and their distance in Å.
Element x y z (fractional)
Ca: 0.0000 0.0000 0.0000  6 Fe 2.25
Fe: 0.0000 0.0000 0.5000  2 Ca 2.25
Fe: 0.0000 0.5000 0.0000  2 Ca 2.25
Fe: 0.5000 0.0000 0.0000  2 Ca 2.25
Si: 0.5000 0.5000 0.5000  12 Fe 3.18


*B*
Entry from Alexandria via LeMat-Bulk: a relaxed CaFe3Si crystal (GGA-PBE).

Values from the calculation:
SG = No. 221
Density = 4.55 Mg/m³

a = 4.4128 Å, b = 4.4128 Å, c = 4.4128 Å
α = 90.00°, β = 90.00°, γ = 90.00°
Last column: nearest neighbours and their distance in Å.
Element x y z (fractional)
Ca: 0.0000 0.0000 0.0000  12 Fe 3.12
Fe: 0.0000 0.5000 0.5000  2 Si 2.21
Fe: 0.5000 0.0000 0.5000  2 Si 2.21
Fe: 0.5000 0.5000 0.0000  2 Si 2.21
Si: 0.5000 0.5000 0.5000  6 Fe 2.21


Most stable: *B*. Least stable: *A*.


*A*
Entry from Alexandria via LeMat-Bulk: a relaxed CaSm2Fe crystal (GGA-PBE).

Values from the calculation:
SG = No. 123
Density = 5.66 Mg/m³

a = 3.5225 Å, b = 3.5225 Å, c = 9.3774 Å
α = 90.00°, β = 90.00°, γ = 90.00°
Last column: nearest neighbours and their distance in Å.
Element x y z (fractional)
Ca: 0.0000 0.0000 0.0000  4 Ca 3.52, 8 Sm 3.93
Sm: 0.5000 0.5000 0.3247  4 Fe 2.98, 1 Sm 3.29
Sm: 0.5000 0.5000 0.6753  4 Fe 2.98, 1 Sm 3.29
Fe: 0.0000 0.0000 0.5000  8 Sm 2.98


*B*
Entry from Alexandria via LeMat-Bulk: a relaxed CaSm2Fe crystal (GGA-PBE).

Values from the calculation:
SG = No. 166
Density = 5.14 Mg/m³

a = 10.8582 Å, b = 10.8582 Å, c = 10.8582 Å
α = 19.77°, β = 19.77°, γ = 19.77°
Last column: nearest neighbours and their distance in Å.
Element x y z (fractional)
Ca: 0.0000 0.0000 0.0000  2 Sm 3.63, 6 Ca 3.73
Sm: 0.1138 0.1138 0.1138  3 Fe 2.73
Sm: 0.8862 0.8862 0.8862  3 Fe 2.73
Fe: 0.5000 0.5000 0.5000  6 Sm 2.73


Most stable: *A*. Least stable: *B*.


*A*
Entry from Alexandria via LeMat-Bulk: a relaxed CaFe3Sn crystal (GGA-PBE).

Values from the calculation:
SG = No. 221
Density = 5.57 Mg/m³

a = 4.6004 Å, b = 4.6004 Å, c = 4.6004 Å
α = 90.00°, β = 90.00°, γ = 90.00°
Last column: nearest neighbours and their distance in Å.
Element x y z (fractional)
Ca: 0.0000 0.0000 0.0000  6 Fe 2.30
Fe: 0.0000 0.0000 0.5000  2 Ca 2.30
Fe: 0.0000 0.5000 0.0000  2 Ca 2.30
Fe: 0.5000 0.0000 0.0000  2 Ca 2.30
Sn: 0.5000 0.5000 0.5000  12 Fe 3.25


*B*
Entry from Alexandria via LeMat-Bulk: a relaxed CaFe3Sn crystal (GGA-PBE).

Values from the calculation:
SG = No. 221
Density = 5.01 Mg/m³

a = 4.7635 Å, b = 4.7635 Å, c = 4.7635 Å
α = 90.00°, β = 90.00°, γ = 90.00°
Last column: nearest neighbours and their distance in Å.
Element x y z (fractional)
Ca: 0.0000 0.0000 0.0000  12 Fe 3.37
Fe: 0.0000 0.5000 0.5000  2 Sn 2.38
Fe: 0.5000 0.0000 0.5000  2 Sn 2.38
Fe: 0.5000 0.5000 0.0000  2 Sn 2.38
Sn: 0.5000 0.5000 0.5000  6 Fe 2.38


Most stable: *B*. Least stable: *A*.


*A*
Entry from Alexandria via LeMat-Bulk: a relaxed SrCaFe crystal (GGA-PBE).

Values from the calculation:
SG = No. 216
Density = 2.96 Mg/m³

a = 5.2628 Å, b = 5.2628 Å, c = 5.2628 Å
α = 60.00°, β = 60.00°, γ = 60.00°
Last column: nearest neighbours and their distance in Å.
Element x y z (fractional)
Sr: 0.0000 0.0000 0.0000  4 Fe 3.22
Ca: 0.5000 0.5000 0.5000  4 Fe 3.22
Fe: 0.7500 0.7500 0.7500  4 Ca 3.22, 4 Sr 3.22


*B*
Entry from Alexandria via LeMat-Bulk: a relaxed SrCaFe crystal (GGA-PBE).

Values from the calculation:
SG = No. 107
Density = 3.23 Mg/m³

a = 7.3492 Å, b = 7.3492 Å, c = 7.3492 Å
α = 150.80°, β = 150.80°, γ = 41.77°
Last column: nearest neighbours and their distance in Å.
Element x y z (fractional)
Sr: 0.0000 0.0000 0.0000  4 Fe 3.26, 1 Ca 3.61
Ca: 0.2627 0.2627 0.0000  4 Fe 3.10
Fe: 0.6415 0.6415 0.0000  4 Ca 3.10, 4 Sr 3.26


Most stable: *B*. Least stable: *A*.


*A*
Entry from Alexandria via LeMat-Bulk: a relaxed CaTaFe2 crystal (GGA-PBE).

Values from the calculation:
SG = No. 216
Density = 8.53 Mg/m³

a = 4.5075 Å, b = 4.5075 Å, c = 4.5075 Å
α = 60.00°, β = 60.00°, γ = 60.00°
Last column: nearest neighbours and their distance in Å.
Element x y z (fractional)
Ca: 0.0000 0.0000 0.0000  4 Fe 2.76, 4 Ta 2.76
Ta: 0.2500 0.2500 0.2500  4 Fe 2.76, 4 Ca 2.76
Fe: 0.5000 0.5000 0.5000  4 Fe 2.76, 4 Ta 2.76
Fe: 0.7500 0.7500 0.7500  4 Fe 2.76, 4 Ca 2.76


*B*
Entry from Alexandria via LeMat-Bulk: a relaxed CaTaFe2 crystal (GGA-PBE).

Values from the calculation:
SG = No. 166
Density = 7.83 Mg/m³

a = 8.5191 Å, b = 8.5191 Å, c = 8.5191 Å
α = 21.16°, β = 21.16°, γ = 21.16°
Last column: nearest neighbours and their distance in Å.
Element x y z (fractional)
Ca: 0.0000 0.0000 0.0000  6 Fe 2.98, 6 Ca 3.13
Ta: 0.5000 0.5000 0.5000  6 Fe 2.54
Fe: 0.2382 0.2382 0.2382  3 Ta 2.54
Fe: 0.7618 0.7618 0.7618  3 Ta 2.54


Most stable: *B*. Least stable: *A*.


*A*
Entry from Alexandria via LeMat-Bulk: a relaxed CaTaFe2 crystal (GGA-PBE).

Values from the calculation:
SG = No. 225
Density = 8.87 Mg/m³

a = 4.4489 Å, b = 4.4489 Å, c = 4.4489 Å
α = 60.00°, β = 60.00°, γ = 60.00°
Last column: nearest neighbours and their distance in Å.
Element x y z (fractional)
Ca: 0.0000 0.0000 0.0000  8 Fe 2.72
Ta: 0.5000 0.5000 0.5000  8 Fe 2.72
Fe: 0.2500 0.2500 0.2500  4 Ta 2.72, 4 Ca 2.72
Fe: 0.7500 0.7500 0.7500  4 Ta 2.72, 4 Ca 2.72


*B*
Entry from Alexandria via LeMat-Bulk: a relaxed CaTaFe2 crystal (GGA-PBE).

Values from the calculation:
SG = No. 1
Density = 8.32 Mg/m³

a = 2.9013 Å, b = 4.6135 Å, c = 5.6433 Å
α = 113.66°, β = 104.84°, γ = 90.09°
Last column: nearest neighbours and their distance in Å.
Element x y z (fractional)
Ca: 0.0000 0.0000 0.0000  6 Fe 2.76-3.03, 2 Ca 2.90
Ta: 0.7884 0.2917 0.5777  6 Fe 2.78-2.94, 2 Ta 2.90
Fe: 0.2316 0.7344 0.4638  2 Fe 2.34
Fe: 0.5464 0.5455 0.0931  2 Fe 2.34


Most stable: *B*. Least stable: *A*.